DFT (PBE-GGA) results for an optimized crystal structure of TbPaGe4.

Structure (extended XYZ):
```
6
Lattice="-3.486 -2.797 -3.330 1.212 -5.213 -1.554 -2.959 -4.269 2.019" Properties=species:S:1:pos:R:3 pbc="T T T"
Ge -1.786 -5.536 -2.808
Ge -3.274 -7.683 -1.792
Ge -3.884 -5.061 -1.011
Ge -1.522 -6.277 -0.118
Tb 0.000 0.000 0.000
Pa -1.308 -3.070 -0.716
```

Summary:
Its mass density is 9.23 g cm⁻³. The value obtained for the magnetization is 0.6 Bohr magnetons per cell. The calculation puts the formation enthalpy at 0 K at -0.18 eV/atom. The calculation puts the total energy at -5.6156 eV per atom.


DFT (PBE-GGA) results for an optimized crystal structure of La3CuCl2.

Structure (extended XYZ):
```
12
Lattice="-3.645 -0.596 -2.156 -2.461 -2.409 4.828 -3.967 11.260 3.597" Properties=species:S:1:pos:R:3 pbc="T T T"
Cl -4.321 -0.267 3.139
Cl -6.991 7.310 5.559
Cl -3.244 6.873 3.586
Cl -1.946 3.190 2.410
Cu -0.618 -0.605 1.213
Cu -5.649 3.528 4.335
La -3.163 1.944 4.811
La -4.489 5.709 6.014
La -3.105 0.979 0.738
La -4.419 4.733 1.921
La -5.745 8.473 3.131
La -1.849 -1.810 3.627
```

Summary:
Its mass density is 5.79 g cm⁻³. The value obtained for the magnetization is 0.0 Bohr magnetons per cell. As for the energy relative to the elements, uncorrected: -1135.5 meV per atom. The calculation puts the total energy at -4.8975 eV per atom.


Number 2 is which compound?
La3CuCl2